(1)
PBE KTc2Ni, optimized geometry; ΔE_f = 1.416 eV per atom; calculated total energy = -5.49 eV per atom; crystal system = tetragonal
1.0
5.6416 0.0156 0.0000
3.2033 4.6439 0.0000
-4.4224 -2.3298 2.6156
K Tc Ni
1 2 1
Cartesian
1.6017 2.3220 1.3078
4.4224 2.3298 0.0000
0.0000 0.0000 0.0000
2.8208 0.0078 1.3078


(2)
PBE KTc2Ni, optimized geometry; ΔE_f = 1.420 eV per atom; calculated total energy = -5.48 eV per atom; crystal system = tetragonal
1.0
-4.3717 -1.3750 -0.8605
1.5363 -2.7162 -3.4647
-0.4372 -8.6998 3.4888
Tc Ni K
4 2 2
Cartesian
-1.8030 -7.3310 1.9233
-2.8955 -5.0509 -2.0307
-3.9334 -8.1165 1.3680
-3.8214 -3.7424 -0.3294
-3.1133 -6.0602 0.2328
0.0000 0.0000 0.0000
-1.4177 -2.0456 -2.1626
-0.1593 -6.7308 -1.0693


(3)
PBE K2TcNi, optimized geometry; ΔE_f = 0.765 eV per atom; calculated total energy = -3.82 eV per atom; crystal system = tetragonal
1.0
3.3295 -0.0399 0.0000
0.0362 3.3295 0.0000
0.0000 0.0000 10.3294
Ni K Tc
1 2 1
Cartesian
0.0000 0.0000 6.0489
0.0000 0.0000 9.4467
1.6829 1.6448 3.5376
1.6829 1.6448 6.7904


(4)
PBE KTcNi2, optimized geometry; ΔE_f = 0.466 eV per atom; calculated total energy = -5.29 eV per atom; crystal system = monoclinic
1.0
3.5094 0.0000 0.0000
0.0000 2.6962 -0.0098
0.0000 2.7647 7.5357
K Ni Tc
1 2 1
Cartesian
1.7547 4.0957 5.6444
0.0000 2.7160 3.1030
0.0000 2.7107 0.6501
1.7547 1.3652 1.8815


- What is the formula in the first record?
  KTc2Ni


- What is the ΔE_f in the third record?
  0.765 eV per atom


- ΔE_f of number 1 (KTc2Ni)?
  1.416 eV per atom


- Among the records above, which one has the lowest ΔE_f?
  KTcNi2